(1)
U2Pt13 | GGA-PBE | relaxed

a = 7.390 Å, b = 7.390 Å, c = 7.390 Å
α = 57.94°, β = 57.94°, γ = 57.94°
Element x y z (fractional)
U (0.171, 0.171, 0.171)
U (0.829, 0.829, 0.829)
Pt (0.000, 0.000, 0.000)
Pt (0.165, 0.165, 0.548)
Pt (0.165, 0.548, 0.165)
Pt (0.278, 0.696, 0.696)
Pt (0.304, 0.304, 0.722)
Pt (0.304, 0.722, 0.304)
Pt (0.452, 0.835, 0.835)
Pt (0.548, 0.165, 0.165)
Pt (0.696, 0.278, 0.696)
Pt (0.696, 0.696, 0.278)
Pt (0.722, 0.304, 0.304)
Pt (0.835, 0.452, 0.835)
Pt (0.835, 0.835, 0.452)

Output
Relative energy among the computed polymorphs: 0 meV per atom
D(E_F): 11.14 states/eV per cell

(2)
HoNb6Sn6 | GGA-PBE | relaxed

a = 7.537 Å, b = 7.537 Å, c = 7.537 Å
α = 134.76°, β = 100.59°, γ = 96.44°
Element x y z (fractional)
Ho (0.000, 0.000, 0.000)
Nb (0.000, 0.000, 0.500)
Nb (0.000, 0.500, 0.000)
Nb (0.252, 0.500, 0.752)
Nb (0.500, 0.000, 0.000)
Nb (0.500, 0.500, 0.500)
Nb (0.748, 0.500, 0.248)
Sn (0.164, 0.664, 0.500)
Sn (0.326, 0.000, 0.326)
Sn (0.333, 0.333, 0.000)
Sn (0.667, 0.667, 0.000)
Sn (0.674, 0.000, 0.674)
Sn (0.836, 0.336, 0.500)

Output
Calculated total energy: -7.16 eV per atom
D(E_F): 4.10 states/eV per cell

(3)
Cs3SrI | GGA-PBE | relaxed

a = 7.546 Å, b = 7.546 Å, c = 7.546 Å
α = 90.00°, β = 90.00°, γ = 90.00°
Element x y z (fractional)
Cs (0.000, 0.000, 0.500)
Cs (0.000, 0.500, 0.000)
Cs (0.500, 0.000, 0.000)
Sr (0.500, 0.500, 0.500)
I (0.000, 0.000, 0.000)

Output
ΔE_f (raw): -0.434 eV per atom
D(E_F): 5.62 states/eV per cell

(4)
CoSi2Sb | GGA-PBE | relaxed

a = 5.868 Å, b = 5.868 Å, c = 5.868 Å
α = 151.22°, β = 137.17°, γ = 52.42°
Element x y z (fractional)
Co (0.000, 0.000, 0.000)
Si (0.195, 0.695, 0.500)
Si (0.805, 0.305, 0.500)
Sb (0.500, 0.500, 0.000)

Output
ΔE_f (raw): 0.341 eV per atom
D(E_F): 2.76 states/eV per cell

(5)
NbMo3W3 | GGA-PBE | relaxed

a = 7.402 Å, b = 7.402 Å, c = 4.929 Å
α = 90.00°, β = 90.00°, γ = 120.00°
Element x y z (fractional)
Nb (0.333, 0.667, 0.250)
Nb (0.667, 0.333, 0.750)
Mo (0.093, 0.624, 0.750)
Mo (0.376, 0.469, 0.750)
Mo (0.469, 0.093, 0.250)
Mo (0.531, 0.907, 0.750)
Mo (0.624, 0.531, 0.250)
Mo (0.907, 0.376, 0.250)
W (0.024, 0.791, 0.250)
W (0.209, 0.232, 0.250)
W (0.232, 0.024, 0.750)
W (0.768, 0.976, 0.250)
W (0.791, 0.768, 0.750)
W (0.976, 0.209, 0.750)

Output
Relative energy among the computed polymorphs: 0 meV per atom
D(E_F): 15.22 states/eV per cell

(6)
Mg2AlAu2 | GGA-PBE | relaxed

a = 6.953 Å, b = 6.953 Å, c = 6.953 Å
α = 146.48°, β = 146.48°, γ = 48.14°
Element x y z (fractional)
Mg (0.250, 0.750, 0.500)
Mg (0.750, 0.250, 0.500)
Al (0.000, 0.000, 0.000)
Au (0.393, 0.393, 0.000)
Au (0.607, 0.607, 0.000)

Output
Relative energy among the computed polymorphs: 286 meV per atom
D(E_F): 2.02 states/eV per cell

(7)
Na2ErPaS4 | GGA-PBE | relaxed

a = 6.876 Å, b = 3.907 Å, c = 7.130 Å
α = 90.00°, β = 108.28°, γ = 90.00°
Element x y z (fractional)
Na (0.000, 0.000, 0.000)
Na (0.500, 0.500, 0.000)
Er (0.000, 0.500, 0.500)
Pa (0.500, 0.000, 0.500)
S (0.241, 0.000, 0.728)
S (0.251, 0.500, 0.267)
S (0.749, 0.500, 0.733)
S (0.759, 0.000, 0.272)

Output
ΔE_f (raw): -1.620 eV per atom
D(E_F): 6.00 states/eV per cell

(8)
NaFeS2 | GGA-PBE | relaxed

a = 6.119 Å, b = 6.119 Å, c = 6.119 Å
α = 118.88°, β = 118.88°, γ = 91.94°
Element x y z (fractional)
Na (0.000, 0.000, 0.000)
Na (0.750, 0.250, 0.500)
Fe (0.250, 0.750, 0.500)
Fe (0.500, 0.500, 0.000)
S (0.220, 0.625, 0.095)
S (0.375, 0.470, 0.595)
S (0.530, 0.125, 0.905)
S (0.875, 0.780, 0.405)

Output
ΔE_f (raw): -0.579 eV per atom
D(E_F): 6.03 states/eV per cell

(9)
Sr2MoAu | GGA-PBE | relaxed

a = 3.383 Å, b = 3.383 Å, c = 9.199 Å
α = 90.00°, β = 90.00°, γ = 90.12°
Element x y z (fractional)
Sr (0.000, 0.000, 0.244)
Sr (0.000, 0.000, 0.756)
Mo (0.500, 0.500, 0.500)
Au (0.500, 0.500, 0.000)

Output
Relative energy among the computed polymorphs: 177 meV per atom
D(E_F): 3.03 states/eV per cell

(10)
SrDyInPb | GGA-PBE | relaxed

a = 5.577 Å, b = 5.577 Å, c = 5.577 Å
α = 60.00°, β = 60.00°, γ = 60.00°
Element x y z (fractional)
Sr (0.000, 0.000, 0.000)
Dy (0.500, 0.500, 0.500)
In (0.750, 0.750, 0.750)
Pb (0.250, 0.250, 0.250)

Output
Calculated total energy: -3.57 eV per atom
D(E_F): 2.32 states/eV per cell

(11)
Mn2CrP | GGA-PBE | relaxed

a = 3.976 Å, b = 3.976 Å, c = 3.976 Å
α = 60.00°, β = 60.00°, γ = 60.00°
Element x y z (fractional)
Mn (0.000, 0.000, 0.000)
Mn (0.250, 0.250, 0.250)
Cr (0.750, 0.750, 0.750)
P (0.500, 0.500, 0.500)

Output
Calculated total energy: -8.59 eV per atom
D(E_F): 3.83 states/eV per cell

(12)
Rb2TbI6 | GGA-PBE | relaxed

a = 4.694 Å, b = 9.627 Å, c = 9.627 Å
α = 120.45°, β = 90.00°, γ = 90.00°
Element x y z (fractional)
Rb (0.000, 0.167, 0.833)
Rb (0.000, 0.833, 0.167)
Tb (0.500, 0.503, 0.503)
I (0.000, 0.272, 0.501)
I (0.000, 0.501, 0.272)
I (0.000, 0.734, 0.734)
I (0.500, 0.142, 0.142)
I (0.500, 0.499, 0.863)
I (0.500, 0.863, 0.499)

Output
ΔE_f (raw): -1.152 eV per atom
D(E_F): 13.90 states/eV per cell

> Which value of D(E_F) does entry 10 give?

2.32 states/eV per cell